<P>
NdY2Cu: relaxed, GGA-PBE.

a = 3.534 Å, b = 3.534 Å, c = 8.798 Å
α = 90.00°, β = 90.00°, γ = 90.00°
Space group P4/mmm (No. 123)
One atom of each set of equivalent atoms:
Nd (0.000, 0.000, 0.000) [1 per cell]
Y (0.500, 0.500, 0.308) [2 per cell]
Cu (0.000, 0.000, 0.500) [1 per cell]

Output
crystal system = tetragonal

<Q>
NdY2Cu: relaxed, GGA-PBE.

a = 5.023 Å, b = 7.475 Å, c = 6.460 Å
α = 90.00°, β = 112.87°, γ = 90.00°
Space group P2_1/m (No. 11)
One atom of each set of equivalent atoms:
Nd (0.046, 0.250, 0.092) [2 per cell]
Y (0.350, 0.028, 0.700) [4 per cell]
Cu (0.199, 0.750, 0.395) [2 per cell]

Output
crystal system = monoclinic

<R>
NdY2Cu: relaxed, GGA-PBE.

a = 6.889 Å, b = 9.964 Å, c = 6.562 Å
α = 90.00°, β = 90.00°, γ = 90.00°
Space group Pnma (No. 62)
One atom of each set of equivalent atoms:
Nd (0.010, 0.250, 0.137) [4 per cell]
Y (0.182, 0.059, 0.679) [8 per cell]
Cu (0.107, 0.750, 0.433) [4 per cell]

Output
crystal system = orthorhombic

Most stable: <P>

<P>
NdYCu2: relaxed, GGA-PBE.

a = 3.851 Å, b = 4.510 Å, c = 5.578 Å
α = 90.00°, β = 109.67°, γ = 90.00°
Space group Pm (No. 6)
One atom of each set of equivalent atoms:
Nd (0.000, 0.000, 0.000) [1 per cell]
Y (0.719, 0.500, 0.435) [1 per cell]
Cu (0.290, 0.000, 0.575) [1 per cell]
Cu (0.423, 0.500, 0.848) [1 per cell]

Output
crystal system = monoclinic

<Q>
NdYCu2: relaxed, GGA-PBE.

a = 3.522 Å, b = 3.522 Å, c = 7.123 Å
α = 90.00°, β = 90.00°, γ = 90.00°
Space group P4/mmm (No. 123)
One atom of each set of equivalent atoms:
Nd (0.000, 0.000, 0.000) [1 per cell]
Y (0.000, 0.000, 0.500) [1 per cell]
Cu (0.500, 0.500, 0.267) [2 per cell]

Output
crystal system = tetragonal

Most stable: <P>

<P>
Nd3Zn2Cu4: relaxed, GGA-PBE.

a = 10.217 Å, b = 4.288 Å, c = 8.473 Å
α = 90.00°, β = 98.98°, γ = 90.00°
Space group C2/m (No. 12)
One atom of each set of equivalent atoms:
Nd (0.000, 0.000, 0.000) [2 per cell]
Nd (0.125, 0.500, 0.378) [4 per cell]
Zn (0.181, 0.500, 0.775) [4 per cell]
Cu (0.083, 0.000, 0.638) [4 per cell]
Cu (0.231, 0.500, 0.078) [4 per cell]

Output
crystal system = monoclinic

<Q>
Nd3Zn2Cu4: relaxed, GGA-PBE.

a = 10.644 Å, b = 4.388 Å, c = 8.452 Å
α = 90.00°, β = 110.58°, γ = 90.00°
Space group C2/m (No. 12)
One atom of each set of equivalent atoms:
Nd (0.000, 0.000, 0.000) [2 per cell]
Nd (0.160, 0.500, 0.675) [4 per cell]
Zn (0.123, 0.500, 0.289) [4 per cell]
Cu (0.064, 0.000, 0.398) [4 per cell]
Cu (0.223, 0.500, 0.056) [4 per cell]

Output
crystal system = monoclinic

Most stable: <Q>

<P>
NdZn2Cu4: relaxed, GGA-PBE.

a = 6.533 Å, b = 6.533 Å, c = 5.081 Å
α = 90.00°, β = 90.00°, γ = 90.00°
Space group I4/mmm (No. 139)
One atom of each set of equivalent atoms:
Nd (0.000, 0.000, 0.000) [2 per cell]
Zn (0.000, 0.500, 0.250) [4 per cell]
Cu (0.189, 0.189, 0.500) [8 per cell]

Output
crystal system = tetragonal

<Q>
NdZn2Cu4: relaxed, GGA-PBE.

a = 7.259 Å, b = 7.259 Å, c = 5.286 Å
α = 90.00°, β = 90.00°, γ = 90.00°
Space group I4/mmm (No. 139)
One atom of each set of equivalent atoms:
Nd (0.000, 0.000, 0.000) [2 per cell]
Zn (0.000, 0.500, 0.250) [4 per cell]
Cu (0.000, 0.227, 0.500) [8 per cell]

Output
crystal system = tetragonal

Most stable: <P>